a) Compound: Y3ZrNb
Source: Alexandria via LeMat-Bulk
Functional: PBE
Structure: relaxed

Structure (CIF):
```
data_Y3ZrNb
_cell_length_a 5.371
_cell_length_b 5.371
_cell_length_c 5.371
_cell_angle_alpha 90.00
_cell_angle_beta 90.00
_cell_angle_gamma 90.00
_symmetry_space_group_name_H-M 'P 1'
_symmetry_Int_Tables_number 1
loop_
_symmetry_equiv_pos_as_xyz
'x,y,z'
loop_
_atom_site_label
_atom_site_type_symbol
_atom_site_fract_x
_atom_site_fract_y
_atom_site_fract_z
_atom_site_occupancy
Y1 Y 0.000 0.000 0.500 1
Y2 Y 0.000 0.500 0.000 1
Y3 Y 0.500 0.000 0.000 1
Zr1 Zr 0.500 0.500 0.500 1
Nb1 Nb 0.000 0.000 0.000 1
```

Output
The value obtained for the density of states at the Fermi level is 8.1 states/eV per cell. The crystal system is cubic. As for the space-group type: Pm-3m.

b) Compound: Y3ZrNb
Source: Alexandria via LeMat-Bulk
Functional: PBE
Structure: relaxed

Structure (CIF):
```
data_Y3ZrNb
_cell_length_a 5.358
_cell_length_b 5.358
_cell_length_c 5.358
_cell_angle_alpha 90.00
_cell_angle_beta 90.00
_cell_angle_gamma 90.00
_symmetry_space_group_name_H-M 'P 1'
_symmetry_Int_Tables_number 1
loop_
_symmetry_equiv_pos_as_xyz
'x,y,z'
loop_
_atom_site_label
_atom_site_type_symbol
_atom_site_fract_x
_atom_site_fract_y
_atom_site_fract_z
_atom_site_occupancy
Y1 Y 0.000 0.000 0.500 1
Y2 Y 0.000 0.500 0.000 1
Y3 Y 0.500 0.000 0.000 1
Zr1 Zr 0.000 0.000 0.000 1
Nb1 Nb 0.500 0.500 0.500 1
```

Output
The value obtained for the density of states at the Fermi level is 11.1 states/eV per cell. The crystal system is cubic. As for the space-group type: Pm-3m.

Best to worst by energy: a), b).

a) Compound: Nb5Zn
Source: Alexandria via LeMat-Bulk
Functional: PBE
Structure: relaxed

Structure (CIF):
```
data_Nb5Zn
_cell_length_a 4.527
_cell_length_b 13.666
_cell_length_c 3.430
_cell_angle_alpha 90.00
_cell_angle_beta 90.00
_cell_angle_gamma 90.00
_symmetry_space_group_name_H-M 'P 1'
_symmetry_Int_Tables_number 1
loop_
_symmetry_equiv_pos_as_xyz
'x,y,z'
loop_
_atom_site_label
_atom_site_type_symbol
_atom_site_fract_x
_atom_site_fract_y
_atom_site_fract_z
_atom_site_occupancy
Nb1 Nb 0.000 0.000 0.000 1
Nb2 Nb 0.000 0.161 0.500 1
Nb3 Nb 0.000 0.332 0.000 1
Nb4 Nb 0.000 0.668 0.000 1
Nb5 Nb 0.000 0.839 0.500 1
Nb6 Nb 0.500 0.168 0.000 1
Nb7 Nb 0.500 0.339 0.500 1
Nb8 Nb 0.500 0.500 0.000 1
Nb9 Nb 0.500 0.661 0.500 1
Nb10 Nb 0.500 0.832 0.000 1
Zn1 Zn 0.000 0.500 0.500 1
Zn2 Zn 0.500 0.000 0.500 1
```

Output
The value obtained for the density of states at the Fermi level is 11.4 states/eV per cell. The crystal system is orthorhombic. As for the space-group type: Cmmm.

b) Compound: Nb5Zn
Source: Alexandria via LeMat-Bulk
Functional: PBE
Structure: relaxed

Structure (CIF):
```
data_Nb5Zn
_cell_length_a 2.870
_cell_length_b 2.870
_cell_length_c 15.338
_cell_angle_alpha 90.00
_cell_angle_beta 90.00
_cell_angle_gamma 120.00
_symmetry_space_group_name_H-M 'P 1'
_symmetry_Int_Tables_number 1
loop_
_symmetry_equiv_pos_as_xyz
'x,y,z'
loop_
_atom_site_label
_atom_site_type_symbol
_atom_site_fract_x
_atom_site_fract_y
_atom_site_fract_z
_atom_site_occupancy
Nb1 Nb 0.000 0.000 0.000 1
Nb2 Nb 0.000 0.000 0.344 1
Nb3 Nb 0.000 0.000 0.656 1
Nb4 Nb 0.333 0.667 0.172 1
Nb5 Nb 0.333 0.667 0.828 1
Zn1 Zn 0.333 0.667 0.500 1
```

Output
The value obtained for the density of states at the Fermi level is 7.9 states/eV per cell. The crystal system is hexagonal. As for the space-group type: P-6m2.

c) Compound: Nb5Zn
Source: Alexandria via LeMat-Bulk
Functional: PBE
Structure: relaxed

Structure (CIF):
```
data_Nb5Zn
_cell_length_a 3.375
_cell_length_b 3.375
_cell_length_c 9.291
_cell_angle_alpha 90.00
_cell_angle_beta 90.00
_cell_angle_gamma 90.00
_symmetry_space_group_name_H-M 'P 1'
_symmetry_Int_Tables_number 1
loop_
_symmetry_equiv_pos_as_xyz
'x,y,z'
loop_
_atom_site_label
_atom_site_type_symbol
_atom_site_fract_x
_atom_site_fract_y
_atom_site_fract_z
_atom_site_occupancy
Nb1 Nb 0.000 0.000 0.000 1
Nb2 Nb 0.000 0.000 0.342 1
Nb3 Nb 0.000 0.000 0.658 1
Nb4 Nb 0.500 0.500 0.176 1
Nb5 Nb 0.500 0.500 0.824 1
Zn1 Zn 0.500 0.500 0.500 1
```

Output
The value obtained for the density of states at the Fermi level is 6.1 states/eV per cell. The crystal system is tetragonal. As for the space-group type: P4/mmm.

Best to worst by energy: c), a), b).

a) Compound: NbZn4
Source: Alexandria via LeMat-Bulk
Functional: PBE
Structure: relaxed

Structure (CIF):
```
data_NbZn4
_cell_length_a 5.247
_cell_length_b 5.247
_cell_length_c 5.247
_cell_angle_alpha 90.00
_cell_angle_beta 90.00
_cell_angle_gamma 90.00
_symmetry_space_group_name_H-M 'P 1'
_symmetry_Int_Tables_number 1
loop_
_symmetry_equiv_pos_as_xyz
'x,y,z'
loop_
_atom_site_label
_atom_site_type_symbol
_atom_site_fract_x
_atom_site_fract_y
_atom_site_fract_z
_atom_site_occupancy
Nb1 Nb 0.000 0.000 0.000 1
Zn1 Zn 0.000 0.000 0.500 1
Zn2 Zn 0.000 0.500 0.000 1
Zn3 Zn 0.500 0.000 0.000 1
Zn4 Zn 0.500 0.500 0.500 1
```

Output
The value obtained for the density of states at the Fermi level is 4.0 states/eV per cell. The crystal system is cubic. As for the space-group type: Pm-3m.

b) Compound: NbZn4
Source: Alexandria via LeMat-Bulk
Functional: PBE
Structure: relaxed

Structure (CIF):
```
data_NbZn4
_cell_length_a 7.435
_cell_length_b 7.435
_cell_length_c 7.435
_cell_angle_alpha 147.61
_cell_angle_beta 135.45
_cell_angle_gamma 56.15
_symmetry_space_group_name_H-M 'P 1'
_symmetry_Int_Tables_number 1
loop_
_symmetry_equiv_pos_as_xyz
'x,y,z'
loop_
_atom_site_label
_atom_site_type_symbol
_atom_site_fract_x
_atom_site_fract_y
_atom_site_fract_z
_atom_site_occupancy
Nb1 Nb 0.352 0.102 0.250 1
Nb2 Nb 0.648 0.898 0.750 1
Zn1 Zn 0.000 0.500 0.500 1
Zn2 Zn 0.139 0.889 0.250 1
Zn3 Zn 0.207 0.699 0.508 1
Zn4 Zn 0.309 0.301 0.008 1
Zn5 Zn 0.500 0.500 0.000 1
Zn6 Zn 0.691 0.699 0.992 1
Zn7 Zn 0.793 0.301 0.492 1
Zn8 Zn 0.861 0.111 0.750 1
```

Output
The value obtained for the density of states at the Fermi level is 4.4 states/eV per cell. The crystal system is orthorhombic. As for the space-group type: Imma.

Best to worst by energy: b), a).

a) Compound: Zr3NbZn
Source: Alexandria via LeMat-Bulk
Functional: PBE
Structure: relaxed

Structure (CIF):
```
data_Zr3NbZn
_cell_length_a 4.930
_cell_length_b 4.930
_cell_length_c 4.930
_cell_angle_alpha 90.00
_cell_angle_beta 90.00
_cell_angle_gamma 90.00
_symmetry_space_group_name_H-M 'P 1'
_symmetry_Int_Tables_number 1
loop_
_symmetry_equiv_pos_as_xyz
'x,y,z'
loop_
_atom_site_label
_atom_site_type_symbol
_atom_site_fract_x
_atom_site_fract_y
_atom_site_fract_z
_atom_site_occupancy
Zr1 Zr 0.000 0.000 0.500 1
Zr2 Zr 0.000 0.500 0.000 1
Zr3 Zr 0.500 0.000 0.000 1
Nb1 Nb 0.500 0.500 0.500 1
Zn1 Zn 0.000 0.000 0.000 1
```

Output
The value obtained for the density of states at the Fermi level is 12.4 states/eV per cell. The crystal system is cubic. As for the space-group type: Pm-3m.

b) Compound: Zr3NbZn
Source: Alexandria via LeMat-Bulk
Functional: PBE
Structure: relaxed

Structure (CIF):
```
data_Zr3NbZn
_cell_length_a 5.100
_cell_length_b 5.100
_cell_length_c 5.100
_cell_angle_alpha 90.00
_cell_angle_beta 90.00
_cell_angle_gamma 90.00
_symmetry_space_group_name_H-M 'P 1'
_symmetry_Int_Tables_number 1
loop_
_symmetry_equiv_pos_as_xyz
'x,y,z'
loop_
_atom_site_label
_atom_site_type_symbol
_atom_site_fract_x
_atom_site_fract_y
_atom_site_fract_z
_atom_site_occupancy
Zr1 Zr 0.000 0.000 0.500 1
Zr2 Zr 0.000 0.500 0.000 1
Zr3 Zr 0.500 0.000 0.000 1
Nb1 Nb 0.000 0.000 0.000 1
Zn1 Zn 0.500 0.500 0.500 1
```

Output
The value obtained for the density of states at the Fermi level is 8.8 states/eV per cell. The crystal system is cubic. As for the space-group type: Pm-3m.

Best to worst by energy: a), b).

a) Compound: ZrNbZn
Source: Alexandria via LeMat-Bulk
Functional: PBE
Structure: relaxed

Structure (CIF):
```
data_ZrNbZn
_cell_length_a 4.875
_cell_length_b 4.875
_cell_length_c 2.730
_cell_angle_alpha 90.00
_cell_angle_beta 90.00
_cell_angle_gamma 120.00
_symmetry_space_group_name_H-M 'P 1'
_symmetry_Int_Tables_number 1
loop_
_symmetry_equiv_pos_as_xyz
'x,y,z'
loop_
_atom_site_label
_atom_site_type_symbol
_atom_site_fract_x
_atom_site_fract_y
_atom_site_fract_z
_atom_site_occupancy
Zr1 Zr 0.000 0.000 0.000 1
Nb1 Nb 0.333 0.667 0.411 1
Zn1 Zn 0.667 0.333 0.646 1
```

Output
The value obtained for the density of states at the Fermi level is 3.9 states/eV per cell. The crystal system is trigonal. As for the space-group type: P3m1.

b) Compound: ZrNbZn
Source: Alexandria via LeMat-Bulk
Functional: PBE
Structure: relaxed

Structure (CIF):
```
data_ZrNbZn
_cell_length_a 4.751
_cell_length_b 3.596
_cell_length_c 13.249
_cell_angle_alpha 90.00
_cell_angle_beta 91.38
_cell_angle_gamma 90.00
_symmetry_space_group_name_H-M 'P 1'
_symmetry_Int_Tables_number 1
loop_
_symmetry_equiv_pos_as_xyz
'x,y,z'
loop_
_atom_site_label
_atom_site_type_symbol
_atom_site_fract_x
_atom_site_fract_y
_atom_site_fract_z
_atom_site_occupancy
Zr1 Zr 0.236 0.000 0.241 1
Zr2 Zr 0.264 0.500 0.759 1
Zr3 Zr 0.736 0.500 0.241 1
Zr4 Zr 0.764 0.000 0.759 1
Nb1 Nb 0.243 0.500 0.418 1
Nb2 Nb 0.257 0.000 0.582 1
Nb3 Nb 0.743 0.000 0.418 1
Nb4 Nb 0.757 0.500 0.582 1
Zn1 Zn 0.212 0.500 0.072 1
Zn2 Zn 0.288 0.000 0.928 1
Zn3 Zn 0.712 0.000 0.072 1
Zn4 Zn 0.788 0.500 0.928 1
```

Output
The value obtained for the density of states at the Fermi level is 11.4 states/eV per cell. The crystal system is monoclinic. As for the space-group type: C2/m.

Best to worst by energy: b), a).

a) Compound: ZrNbZn3
Source: Alexandria via LeMat-Bulk
Functional: PBE
Structure: relaxed

Structure (CIF):
```
data_ZrNbZn3
_cell_length_a 4.898
_cell_length_b 4.898
_cell_length_c 4.898
_cell_angle_alpha 90.00
_cell_angle_beta 90.00
_cell_angle_gamma 90.00
_symmetry_space_group_name_H-M 'P 1'
_symmetry_Int_Tables_number 1
loop_
_symmetry_equiv_pos_as_xyz
'x,y,z'
loop_
_atom_site_label
_atom_site_type_symbol
_atom_site_fract_x
_atom_site_fract_y
_atom_site_fract_z
_atom_site_occupancy
Zr1 Zr 0.000 0.000 0.000 1
Nb1 Nb 0.500 0.500 0.500 1
Zn1 Zn 0.000 0.000 0.500 1
Zn2 Zn 0.000 0.500 0.000 1
Zn3 Zn 0.500 0.000 0.000 1
```

Output
The value obtained for the density of states at the Fermi level is 3.2 states/eV per cell. The crystal system is cubic. As for the space-group type: Pm-3m.

b) Compound: ZrNbZn3
Source: Alexandria via LeMat-Bulk
Functional: PBE
Structure: relaxed

Structure (CIF):
```
data_ZrNbZn3
_cell_length_a 4.806
_cell_length_b 4.806
_cell_length_c 4.806
_cell_angle_alpha 90.00
_cell_angle_beta 90.00
_cell_angle_gamma 90.00
_symmetry_space_group_name_H-M 'P 1'
_symmetry_Int_Tables_number 1
loop_
_symmetry_equiv_pos_as_xyz
'x,y,z'
loop_
_atom_site_label
_atom_site_type_symbol
_atom_site_fract_x
_atom_site_fract_y
_atom_site_fract_z
_atom_site_occupancy
Zr1 Zr 0.000 0.000 0.000 1
Nb1 Nb 0.500 0.500 0.500 1
Zn1 Zn 0.000 0.500 0.500 1
Zn2 Zn 0.500 0.000 0.500 1
Zn3 Zn 0.500 0.500 0.000 1
```

Output
The value obtained for the density of states at the Fermi level is 8.8 states/eV per cell. The crystal system is cubic. As for the space-group type: Pm-3m.

Best to worst by energy: b), a).

a) Compound: Nd
Source: Alexandria via LeMat-Bulk
Functional: PBE
Structure: relaxed

Structure (CIF):
```
data_Nd
_cell_length_a 3.700
_cell_length_b 3.700
_cell_length_c 11.908
_cell_angle_alpha 90.00
_cell_angle_beta 90.00
_cell_angle_gamma 120.00
_symmetry_space_group_name_H-M 'P 1'
_symmetry_Int_Tables_number 1
loop_
_symmetry_equiv_pos_as_xyz
'x,y,z'
loop_
_atom_site_label
_atom_site_type_symbol
_atom_site_fract_x
_atom_site_fract_y
_atom_site_fract_z
_atom_site_occupancy
Nd1 Nd 0.000 0.000 0.000 1
Nd2 Nd 0.000 0.000 0.500 1
Nd3 Nd 0.333 0.667 0.250 1
Nd4 Nd 0.667 0.333 0.750 1
```

Output
The value obtained for the density of states at the Fermi level is 4.3 states/eV per cell. The crystal system is hexagonal. As for the space-group type: P6_3/mmc.

b) Compound: Nd
Source: Alexandria via LeMat-Bulk
Functional: PBE
Structure: relaxed

Structure (CIF):
```
data_Nd
_cell_length_a 3.701
_cell_length_b 3.701
_cell_length_c 26.804
_cell_angle_alpha 90.00
_cell_angle_beta 90.00
_cell_angle_gamma 120.00
_symmetry_space_group_name_H-M 'P 1'
_symmetry_Int_Tables_number 1
loop_
_symmetry_equiv_pos_as_xyz
'x,y,z'
loop_
_atom_site_label
_atom_site_type_symbol
_atom_site_fract_x
_atom_site_fract_y
_atom_site_fract_z
_atom_site_occupancy
Nd1 Nd 0.000 0.000 0.000 1
Nd2 Nd 0.000 0.000 0.223 1
Nd3 Nd 0.000 0.000 0.777 1
Nd4 Nd 0.333 0.667 0.444 1
Nd5 Nd 0.333 0.667 0.667 1
Nd6 Nd 0.333 0.667 0.890 1
Nd7 Nd 0.667 0.333 0.110 1
Nd8 Nd 0.667 0.333 0.333 1
Nd9 Nd 0.667 0.333 0.556 1
```

Output
The value obtained for the density of states at the Fermi level is 11.3 states/eV per cell. The crystal system is trigonal. As for the space-group type: R-3m.

c) Compound: Nd
Source: Alexandria via LeMat-Bulk
Functional: PBE
Structure: relaxed

Structure (CIF):
```
data_Nd
_cell_length_a 5.206
_cell_length_b 5.206
_cell_length_c 5.206
_cell_angle_alpha 90.00
_cell_angle_beta 90.00
_cell_angle_gamma 90.00
_symmetry_space_group_name_H-M 'P 1'
_symmetry_Int_Tables_number 1
loop_
_symmetry_equiv_pos_as_xyz
'x,y,z'
loop_
_atom_site_label
_atom_site_type_symbol
_atom_site_fract_x
_atom_site_fract_y
_atom_site_fract_z
_atom_site_occupancy
Nd1 Nd 0.000 0.000 0.000 1
Nd2 Nd 0.000 0.500 0.500 1
Nd3 Nd 0.500 0.000 0.500 1
Nd4 Nd 0.500 0.500 0.000 1
```

Output
The value obtained for the density of states at the Fermi level is 6.1 states/eV per cell. The crystal system is cubic. As for the space-group type: Fm-3m.

d) Compound: Nd
Source: Alexandria via LeMat-Bulk
Functional: PBE
Structure: relaxed

Structure (CIF):
```
data_Nd
_cell_length_a 3.722
_cell_length_b 3.722
_cell_length_c 5.948
_cell_angle_alpha 90.00
_cell_angle_beta 90.00
_cell_angle_gamma 120.00
_symmetry_space_group_name_H-M 'P 1'
_symmetry_Int_Tables_number 1
loop_
_symmetry_equiv_pos_as_xyz
'x,y,z'
loop_
_atom_site_label
_atom_site_type_symbol
_atom_site_fract_x
_atom_site_fract_y
_atom_site_fract_z
_atom_site_occupancy
Nd1 Nd 0.333 0.667 0.250 1
Nd2 Nd 0.667 0.333 0.750 1
```

Output
The value obtained for the density of states at the Fermi level is 3.4 states/eV per cell. The crystal system is hexagonal. As for the space-group type: P6_3/mmc.

Best to worst by energy: a), b), c), d).